# 1
SrPmNCl PBE relaxed; uncorrected energy = -0.4109 Ry per atom; raw formation energy = -5.76 eV/f.u.; total magnetization = 0.97 μB/cell
1.0
1.903 1.099 7.177
-1.903 1.099 7.177
0.000 -2.198 7.177
Sr Pm N Cl
1 1 1 1
direct
0.000 0.000 0.000
0.206 0.206 0.206
0.584 0.584 0.584
0.771 0.771 0.771

# 2
NiAs2Pd PBE relaxed; uncorrected energy = -0.3829 Ry per atom; ΔE_f = -0.142 eV/atom; total magnetization = 0.00 μB/cell
1.0
1.800 1.039 5.899
-1.800 1.039 5.899
0.000 -2.078 5.899
Ni As Pd
1 2 1
direct
0.000 0.000 0.000
0.400 0.400 0.400
0.592 0.592 0.592
0.154 0.154 0.154

# 3
Tm5HgAu2 PBE relaxed; uncorrected energy = -0.2972 Ry per atom; ΔE_f = -0.392 eV/atom; total magnetization = 0.00 μB/cell
1.0
2.541 -5.182 0.000
2.541 5.182 0.000
0.000 0.000 16.010
Tm Hg Au
10 2 4
direct
0.050 0.950 0.605
0.050 0.950 0.895
0.355 0.645 0.545
0.355 0.645 0.955
0.414 0.586 0.250
0.586 0.414 0.750
0.645 0.355 0.045
0.645 0.355 0.455
0.950 0.050 0.105
0.950 0.050 0.395
0.276 0.724 0.750
0.724 0.276 0.250
0.236 0.764 0.113
0.236 0.764 0.387
0.764 0.236 0.613
0.764 0.236 0.887

# 4
TlPtBr2 PBE relaxed; uncorrected energy = -0.2186 Ry per atom; raw formation energy = -0.14 eV/f.u.; ΔE to the lowest computed polymorph = 166 meV per atom; total magnetization = 0.00 μB/cell
1.0
-3.062 3.062 7.527
3.062 -3.062 7.527
3.062 3.062 -7.527
Tl Pt Br
2 2 4
direct
0.000 0.000 0.000
0.750 0.250 0.500
0.250 0.750 0.500
0.500 0.500 0.000
0.232 0.625 0.107
0.375 0.482 0.607
0.518 0.125 0.893
0.875 0.768 0.393

# 5
Dy4SbRh PBE relaxed; uncorrected energy = -0.4191 Ry per atom; raw formation energy = -4.33 eV/f.u.; ΔE to the lowest computed polymorph = 0 meV per atom; total magnetization = 0.00 μB/cell
1.0
8.124 0.000 0.000
0.000 4.076 0.000
0.000 0.000 19.127
Dy Sb Rh
16 4 4
direct
0.003 0.250 0.068
0.036 0.250 0.784
0.142 0.250 0.355
0.142 0.250 0.553
0.358 0.750 0.053
0.358 0.750 0.855
0.464 0.750 0.284
0.497 0.750 0.568
0.503 0.250 0.432
0.536 0.250 0.716
0.642 0.250 0.145
0.642 0.250 0.947
0.858 0.750 0.447
0.858 0.750 0.645
0.964 0.750 0.216
0.997 0.750 0.932
0.237 0.750 0.690
0.263 0.250 0.190
0.737 0.750 0.810
0.763 0.250 0.310
0.245 0.750 0.451
0.255 0.250 0.951
0.745 0.750 0.049
0.755 0.250 0.549

# 6
AgRuAu2 PBE relaxed; uncorrected energy = -0.3193 Ry per atom; ΔE_f = 0.326 eV/atom; ΔE to the lowest computed polymorph = 78 meV per atom; total magnetization = 1.04 μB/cell
1.0
1.422 -2.420 0.000
1.422 2.420 0.000
0.000 0.000 10.015
Ag Ru Au
1 1 2
direct
0.000 0.000 0.000
0.500 0.500 0.758
0.000 0.000 0.516
0.500 0.500 0.255

# 7
LiNdSmDy PBE relaxed; uncorrected energy = -0.2819 Ry per atom; ΔE_f = 0.165 eV/atom; total magnetization = 0.00 μB/cell
1.0
0.000 3.938 3.938
3.938 0.000 3.938
3.938 3.938 0.000
Li Nd Sm Dy
1 1 1 1
direct
0.000 0.000 0.000
0.750 0.750 0.750
0.250 0.250 0.250
0.500 0.500 0.500

# 8
Nb2Cu4S5 PBE relaxed; uncorrected energy = -0.4075 Ry per atom; raw formation energy = -3.82 eV/f.u.; total magnetization = 0.00 μB/cell
1.0
1.862 1.075 15.368
-1.862 1.075 15.368
0.000 -2.150 15.368
Nb Cu S
2 4 5
direct
0.142 0.142 0.142
0.858 0.858 0.858
0.312 0.312 0.312
0.417 0.417 0.417
0.583 0.583 0.583
0.688 0.688 0.688
0.228 0.228 0.228
0.368 0.368 0.368
0.500 0.500 0.500
0.632 0.632 0.632
0.772 0.772 0.772